[1]
{"formula": "Sr5PuHg6", "functional": "GGA-PBE", "state": "optimized geometry", "spacegroup": "Immm (71)", "total_energy_ev_per_atom": -2.4988, "formation_energy_kj_per_mol_atoms": -43.69, "magnetic_moment_mub_per_atom": 0.48, "lattice": [[-2.794, 3.963, 8.414], [2.794, -3.963, 8.414], [2.794, 3.963, -8.414]], "species": ["Sr", "Sr", "Sr", "Sr", "Sr", "Pu", "Hg", "Hg", "Hg", "Hg", "Hg", "Hg"], "frac_coords": [[0.000, 0.000, 0.000], [0.165, 0.665, 0.500], [0.331, 0.331, 0.000], [0.669, 0.669, 0.000], [0.835, 0.335, 0.500], [0.500, 0.000, 0.500], [0.099, 0.840, 0.260], [0.268, 0.500, 0.768], [0.420, 0.160, 0.260], [0.580, 0.840, 0.740], [0.732, 0.500, 0.232], [0.901, 0.160, 0.740]]}

---

[2]
{"formula": "Sr3PuHg4", "functional": "GGA-PBE", "state": "optimized geometry", "spacegroup": "P4/mmm (123)", "total_energy_ev_per_atom": -2.9837, "formation_energy_kj_per_mol_atoms": -39.62, "magnetic_moment_mub_per_atom": 0.73, "lattice": [[3.909, 0.000, 0.000], [0.000, 3.909, 0.000], [0.000, 0.000, 15.975]], "species": ["Sr", "Sr", "Sr", "Pu", "Hg", "Hg", "Hg", "Hg"], "frac_coords": [[0.000, 0.000, 0.000], [0.000, 0.000, 0.256], [0.000, 0.000, 0.744], [0.000, 0.000, 0.500], [0.500, 0.500, 0.128], [0.500, 0.500, 0.387], [0.500, 0.500, 0.613], [0.500, 0.500, 0.872]]}

---

[3]
{"formula": "SrPuHg2", "functional": "GGA-PBE", "state": "optimized geometry", "spacegroup": "P4/mmm (123)", "total_energy_ev_per_atom": -4.4522, "formation_energy_kj_per_mol_atoms": -28.74, "magnetic_moment_mub_per_atom": 1.46, "lattice": [[3.806, 0.000, 0.000], [0.000, 3.806, 0.000], [0.000, 0.000, 8.043]], "species": ["Sr", "Pu", "Hg", "Hg"], "frac_coords": [[0.000, 0.000, 0.000], [0.000, 0.000, 0.500], [0.500, 0.500, 0.266], [0.500, 0.500, 0.734]]}

---

[4]
{"formula": "Sr2PuHg4", "functional": "GGA-PBE", "state": "optimized geometry", "spacegroup": "I4/mmm (139)", "total_energy_ev_per_atom": -2.9542, "formation_energy_kj_per_mol_atoms": -24.49, "magnetic_moment_mub_per_atom": 0.96, "lattice": [[-2.800, 2.800, 7.126], [2.800, -2.800, 7.126], [2.800, 2.800, -7.126]], "species": ["Sr", "Sr", "Pu", "Hg", "Hg", "Hg", "Hg"], "frac_coords": [[0.234, 0.234, 0.000], [0.766, 0.766, 0.000], [0.500, 0.500, 0.000], [0.109, 0.609, 0.500], [0.391, 0.891, 0.500], [0.609, 0.109, 0.500], [0.891, 0.391, 0.500]]}

---

[5]
{"formula": "SrPu4Hg5", "functional": "GGA-PBE", "state": "optimized geometry", "spacegroup": "P4/mmm (123)", "total_energy_ev_per_atom": -6.2252, "formation_energy_kj_per_mol_atoms": -16.73, "magnetic_moment_mub_per_atom": 0.01, "lattice": [[3.729, 0.000, 0.000], [0.000, 3.729, 0.000], [0.000, 0.000, 19.842]], "species": ["Sr", "Pu", "Pu", "Pu", "Pu", "Hg", "Hg", "Hg", "Hg", "Hg"], "frac_coords": [[0.000, 0.000, 0.000], [0.000, 0.000, 0.206], [0.000, 0.000, 0.402], [0.000, 0.000, 0.598], [0.000, 0.000, 0.794], [0.500, 0.500, 0.109], [0.500, 0.500, 0.304], [0.500, 0.500, 0.500], [0.500, 0.500, 0.696], [0.500, 0.500, 0.891]]}

---

[6]
{"formula": "Sr2PuHg6", "functional": "GGA-PBE", "state": "optimized geometry", "spacegroup": "P6/mmm (191)", "total_energy_ev_per_atom": -2.5169, "formation_energy_kj_per_mol_atoms": -33.73, "magnetic_moment_mub_per_atom": 0.64, "lattice": [[8.879, 0.000, 0.000], [-4.439, 7.689, 0.000], [0.000, 0.000, 3.595]], "species": ["Sr", "Sr", "Pu", "Hg", "Hg", "Hg", "Hg", "Hg", "Hg"], "frac_coords": [[0.333, 0.667, 0.000], [0.667, 0.333, 0.000], [0.000, 0.000, 0.000], [0.000, 0.331, 0.500], [0.000, 0.669, 0.500], [0.331, 0.000, 0.500], [0.331, 0.331, 0.500], [0.669, 0.000, 0.500], [0.669, 0.669, 0.500]]}

---

[7]
{"formula": "SrPuHg5", "functional": "GGA-PBE", "state": "optimized geometry", "spacegroup": "Pmmm (47)", "total_energy_ev_per_atom": -2.6675, "formation_energy_kj_per_mol_atoms": -15.84, "magnetic_moment_mub_per_atom": 0.87, "lattice": [[4.717, 0.000, 0.000], [0.000, 4.727, 0.000], [0.000, 0.000, 9.219]], "species": ["Sr", "Pu", "Hg", "Hg", "Hg", "Hg", "Hg"], "frac_coords": [[0.000, 0.000, 0.000], [0.500, 0.500, 0.500], [0.000, 0.500, 0.268], [0.000, 0.500, 0.732], [0.500, 0.000, 0.268], [0.500, 0.000, 0.732], [0.500, 0.500, 0.000]]}

---

[8]
{"formula": "Sr2PuHg", "functional": "GGA-PBE", "state": "optimized geometry", "spacegroup": "R-3m (166)", "total_energy_ev_per_atom": -4.2606, "formation_energy_kj_per_mol_atoms": 23.04, "magnetic_moment_mub_per_atom": 1.62, "lattice": [[1.911, 1.104, 12.291], [-1.911, 1.104, 12.291], [0.000, -2.207, 12.291]], "species": ["Sr", "Sr", "Pu", "Hg"], "frac_coords": [[0.098, 0.098, 0.098], [0.902, 0.902, 0.902], [0.000, 0.000, 0.000], [0.500, 0.500, 0.500]]}

---

Please write out number 5 again, unchanged.
{"formula": "SrPu4Hg5", "functional": "GGA-PBE", "state": "optimized geometry", "spacegroup": "P4/mmm (123)", "total_energy_ev_per_atom": -6.2252, "formation_energy_kj_per_mol_atoms": -16.73, "magnetic_moment_mub_per_atom": 0.01, "lattice": [[3.729, 0.000, 0.000], [0.000, 3.729, 0.000], [0.000, 0.000, 19.842]], "species": ["Sr", "Pu", "Pu", "Pu", "Pu", "Hg", "Hg", "Hg", "Hg", "Hg"], "frac_coords": [[0.000, 0.000, 0.000], [0.000, 0.000, 0.206], [0.000, 0.000, 0.402], [0.000, 0.000, 0.598], [0.000, 0.000, 0.794], [0.500, 0.500, 0.109], [0.500, 0.500, 0.304], [0.500, 0.500, 0.500], [0.500, 0.500, 0.696], [0.500, 0.500, 0.891]]}